Density functional theory data (GGA+U) for an optimized crystal structure of NaCrSe2F.

Computed properties:
As for the symmetry: P4/mmm (123). Its crystal system is tetragonal. Its uncorrected energy is -22.762 eV for the cell shown.

abc: 5.176 3.917 5.176
angles: 90.00 90.00 90.00
Last column: magnetic moment on the atom in μB.
Element x y z (fractional)
Na: 0.500 0.500 0.500  0.00
Se: 0.500 0.000 0.000  -0.45
Se: 0.000 0.000 0.500  -0.37
F: 0.000 0.500 0.000  0.00
Cr: 0.000 0.000 0.000  3.37